# 1
## ScSbN2 (PBE-GGA)

Data for ScSbN2 after structural relaxation.

Output
Electronic total energy: -7.156 eV per atom
Formation energy without anion corrections: -37 kJ per mole of atoms
Size of the total moment: 0.00 μB per formula unit
Volume: 15.1 A^3/atom

Cell lengths 3.3335, 3.3335, 18.7763 Å; angles 90.00, 90.00, 120.00 degrees
Space group R-3m (No. 166, hexagonal axes)
Symmetry-distinct sites (fractional):
Sc  0.0000  0.0000  0.0000 (multiplicity 3)
Sb  0.0000  0.0000  0.5000 (multiplicity 3)
N  0.0000  0.0000  0.3927 (multiplicity 6)

---

# 2
## Li2MgBe (PBE-GGA)

Data for Li2MgBe after structural relaxation.

Output
Electronic total energy: -2.100 eV per atom
Formation energy from the elements: 187 meV per atom
Size of the total moment: 0.00 μB per formula unit
Volume: 15.7 A^3/atom
Relative energy among the computed polymorphs: 0.14 eV/f.u.

Cell lengths 9.817, 3.160, 4.525 Å; angles 90.00, 116.43, 90.00 degrees
Space group Cm (No. 8)
Symmetry-distinct sites (fractional):
Li  0.000  0.000  0.000 (multiplicity 2)
Li  0.236  0.000  0.739 (multiplicity 2)
Mg  0.272  0.500  0.275 (multiplicity 2)
Be  0.017  0.500  0.517 (multiplicity 2)

---

# 3
## PuHfIn2 (PBE-GGA)

Data for PuHfIn2 after structural relaxation.

Output
Electronic total energy: -7.489 eV per atom
Formation energy from the elements: -48 meV per atom
Size of the total moment: 6.67 μB per formula unit
Volume: 24.1 A^3/atom
Relative energy among the computed polymorphs: 0.48 eV/f.u.

Cell lengths 4.561, 4.561, 4.635 Å; angles 90.00, 90.00, 90.00 degrees
Space group P4/mmm (No. 123)
Symmetry-distinct sites (fractional):
Pu  0.000  0.000  0.000 (multiplicity 1)
Hf  0.500  0.500  0.000 (multiplicity 1)
In  0.000  0.500  0.500 (multiplicity 2)

---

# 4
## CrOsPb2 (PBE-GGA)

Data for CrOsPb2 after structural relaxation.

Output
Electronic total energy: -6.166 eV per atom
Formation energy from the elements: 901 meV per atom
Size of the total moment: 2.70 μB per formula unit
Volume: 19.8 A^3/atom
Relative energy among the computed polymorphs: 2.00 eV/f.u.

Cell lengths 3.671, 4.635, 4.660 Å; angles 90.00, 90.00, 90.00 degrees
Space group Pmmm (No. 47)
Symmetry-distinct sites (fractional):
Cr  0.000  0.000  0.000 (multiplicity 1)
Os  0.000  0.500  0.500 (multiplicity 1)
Pb  0.500  0.000  0.500 (multiplicity 1)
Pb  0.500  0.500  0.000 (multiplicity 1)

---

# 5
## Pm2Cd3Ag5 (PBE-GGA)

Data for Pm2Cd3Ag5 after structural relaxation.

Output
Electronic total energy: -2.791 eV per atom
Formation energy from the elements: -140 meV per atom
Size of the total moment: 0.00 μB per formula unit
Volume: 23.2 A^3/atom

Cell lengths 11.847, 13.215, 5.922 Å; angles 90.00, 90.00, 90.00 degrees
Space group Ibam (No. 72)
Symmetry-distinct sites (fractional):
Pm  0.123  0.244  0.000 (multiplicity 8)
Cd  0.000  0.000  0.250 (multiplicity 4)
Cd  0.124  0.357  0.500 (multiplicity 8)
Ag  0.000  0.500  0.250 (multiplicity 4)
Ag  0.130  0.149  0.500 (multiplicity 8)
Ag  0.249  0.000  0.250 (multiplicity 8)

---

# 6
## BeCrTc2 (PBE-GGA)

Data for BeCrTc2 after structural relaxation.

Output
Electronic total energy: -8.464 eV per atom
Formation energy from the elements: 57 meV per atom
Size of the total moment: 0.00 μB per formula unit
Volume: 12.6 A^3/atom

Cell lengths 2.588, 4.133, 4.851 Å; angles 90.00, 102.99, 90.00 degrees
Space group Pm (No. 6)
Symmetry-distinct sites (fractional):
Be  0.000  0.000  0.000 (multiplicity 1)
Cr  0.800  0.500  0.240 (multiplicity 1)
Tc  0.342  0.500  0.772 (multiplicity 1)
Tc  0.582  0.000  0.484 (multiplicity 1)

---

# 7
## TbAl2Rh (PBE-GGA)

Data for TbAl2Rh after structural relaxation.

Output
Electronic total energy: -5.526 eV per atom
Formation energy from the elements: -659 meV per atom
Size of the total moment: 0.00 μB per formula unit
Volume: 18.1 A^3/atom

Cell lengths 3.135, 3.135, 7.346 Å; angles 90.00, 90.00, 90.00 degrees
Space group P4/mmm (No. 123)
Symmetry-distinct sites (fractional):
Tb  0.000  0.000  0.000 (multiplicity 1)
Al  0.500  0.500  0.309 (multiplicity 2)
Rh  0.000  0.000  0.500 (multiplicity 1)

---

# 8
## YMoP (PBE-GGA)

Data for YMoP after structural relaxation.

Output
Electronic total energy: -6.624 eV per atom
Formation energy from the elements: 944 meV per atom
Size of the total moment: 2.73 μB per formula unit
Volume: 23.5 A^3/atom

Cell lengths 6.553, 6.553, 6.553 Å; angles 90.00, 90.00, 90.00 degrees
Space group F-43m (No. 216)
Symmetry-distinct sites (fractional):
Y  0.000  0.000  0.000 (multiplicity 4)
Mo  0.250  0.250  0.250 (multiplicity 4)
P  0.250  0.250  0.750 (multiplicity 4)

---

# 9
## CrCuOs2 (PBE-GGA)

Data for CrCuOs2 after structural relaxation.

Output
Electronic total energy: -8.643 eV per atom
Formation energy from the elements: 402 meV per atom
Size of the total moment: 0.51 μB per formula unit
Volume: 13.5 A^3/atom
Relative energy among the computed polymorphs: 0.98 eV/f.u.

Cell lengths 2.616, 4.294, 4.816 Å; angles 90.00, 94.12, 90.00 degrees
Space group P2/m (No. 10)
Symmetry-distinct sites (fractional):
Cr  0.000  0.000  0.000 (multiplicity 1)
Cu  0.500  0.000  0.500 (multiplicity 1)
Os  0.255  0.500  0.744 (multiplicity 2)

---

# 10
## Dy2AlCu2Rh5 (PBE-GGA)

Data for Dy2AlCu2Rh5 after structural relaxation.

Output
Electronic total energy: -6.340 eV per atom
Formation energy from the elements: -550 meV per atom
Size of the total moment: 0.00 μB per formula unit
Volume: 16.3 A^3/atom

Cell lengths 9.345, 9.345, 3.730 Å; angles 90.00, 90.00, 90.00 degrees
Space group P4/mbm (No. 127)
Symmetry-distinct sites (fractional):
Dy  0.173  0.327  0.000 (multiplicity 4)
Al  0.000  0.000  0.000 (multiplicity 2)
Cu  0.125  0.625  0.000 (multiplicity 4)
Rh  0.000  0.500  0.500 (multiplicity 2)
Rh  0.067  0.801  0.500 (multiplicity 8)

---

# 11
## TmZr2Ru (PBE-GGA)

Data for TmZr2Ru after structural relaxation.

Output
Electronic total energy: -7.980 eV per atom
Formation energy from the elements: -269 meV per atom
Size of the total moment: 0.00 μB per formula unit
Volume: 22.7 A^3/atom
Relative energy among the computed polymorphs: 0.00 eV/f.u.

Cell lengths 6.745, 9.045, 5.945 Å; angles 90.00, 90.00, 90.00 degrees
Space group Pnma (No. 62)
Symmetry-distinct sites (fractional):
Tm  0.029  0.250  0.134 (multiplicity 4)
Zr  0.179  0.058  0.660 (multiplicity 8)
Ru  0.113  0.750  0.400 (multiplicity 4)

---

# 12
## GaBiSb3 (PBE-GGA)

Data for GaBiSb3 after structural relaxation.

Output
Electronic total energy: -2.962 eV per atom
Formation energy without anion corrections: 86 kJ per mole of atoms
Size of the total moment: 0.00 μB per formula unit
Volume: 40.4 A^3/atom
Relative energy among the computed polymorphs: 1.97 eV/f.u.

Cell lengths 5.869, 5.869, 5.869 Å; angles 90.00, 90.00, 90.00 degrees
Space group Pm-3m (No. 221)
Symmetry-distinct sites (fractional):
Ga  0.000  0.000  0.000 (multiplicity 1)
Bi  0.500  0.500  0.500 (multiplicity 1)
Sb  0.000  0.500  0.500 (multiplicity 3)

---

What did the first record say?
## ScSbN2 (PBE-GGA)

Data for ScSbN2 after structural relaxation.

Output
Electronic total energy: -7.156 eV per atom
Formation energy without anion corrections: -37 kJ per mole of atoms
Size of the total moment: 0.00 μB per formula unit
Volume: 15.1 A^3/atom

Cell lengths 3.3335, 3.3335, 18.7763 Å; angles 90.00, 90.00, 120.00 degrees
Space group R-3m (No. 166, hexagonal axes)
Symmetry-distinct sites (fractional):
Sc  0.0000  0.0000  0.0000 (multiplicity 3)
Sb  0.0000  0.0000  0.5000 (multiplicity 3)
N  0.0000  0.0000  0.3927 (multiplicity 6)

---

Among the records above, which one has the lowest electronic total energy?
CrCuOs2